MgPbBr2: optimized geometry, GGA-PBE.

Lattice parameters (Å, degrees): 12.5540 12.5540 12.5540 16.81 16.81 16.81
Fractional positions:
Mg: 0.2500 0.2500 0.2500
Br: 0.9593 0.9593 0.9593
Br: 0.5407 0.5407 0.5407
Pb: 0.7500 0.7500 0.7500

Formation energy (no corrections), eV per atom: -0.914
Excess energy over the best structure of this formula in the dataset, meV/atom: 0
Crystal system: trigonal
Space group: R-3m (166)